{
  "formula": "CaPb2",
  "functional": "PBE",
  "state": "optimized geometry",
  "energy_ev_per_cell": -21.0,
  "magmom_total_mub_per_cell": 0.00,
  "ef_ev_per_atom": -0.35,
  "lattice": [[5.5286, -2.5007, 0.0000], [5.5286, 2.5007, 0.0000], [-1.9166, 0.0000, 6.5850]],
  "species": ["Ca", "Ca", "Pb", "Pb", "Pb", "Pb"],
  "fractional_positions": [[0.1546, 0.1546, 0.3131], [0.8454, 0.8454, 0.6869], [0.1704, 0.1704, 0.8255], [0.5000, 0.5000, 0.0000], [0.5000, 0.5000, 0.5000], [0.8296, 0.8296, 0.1745]]
}



{
  "formula": "CaTa2Co",
  "functional": "PBE",
  "state": "optimized geometry",
  "energy_ev_per_cell": -29.7,
  "polymorph_energy_ev_per_atom": 0.561,
  "magmom_total_mub_per_cell": 0.01,
  "ef_ev_per_atom": 0.78,
  "lattice": [[2.6842, -4.8502, 0.0000], [2.6842, 4.8502, 0.0000], [0.0000, 0.0000, 2.8121]],
  "species": ["Ca", "Ta", "Ta", "Co"],
  "fractional_positions": [[0.0000, 0.0000, 0.0000], [0.0000, 0.5000, 0.5000], [0.5000, 0.0000, 0.5000], [0.5000, 0.5000, 0.0000]]
}



{
  "formula": "ZrUPdS4",
  "functional": "PBE",
  "state": "optimized geometry",
  "energy_ev_per_cell": -99.9,
  "magmom_total_mub_per_cell": 3.96,
  "raw_formation_energy_ev_per_atom": -1.201,
  "lattice": [[-3.6785, 3.9921, 5.2869], [3.6785, -3.9921, 5.2869], [3.6785, 3.9921, -5.2869]],
  "species": ["Zr", "Zr", "U", "U", "Pd", "Pd", "S", "S", "S", "S", "S", "S", "S", "S"],
  "fractional_positions": [[0.5000, 0.0000, 0.0000], [0.5000, 0.5000, 0.5000], [0.0000, 0.0000, 0.0000], [0.5000, 0.0000, 0.5000], [0.1066, 0.3566, 0.7500], [0.8934, 0.6434, 0.2500], [0.2552, 0.2509, 0.4956], [0.2552, 0.7596, 0.0044], [0.2680, 0.7472, 0.5209], [0.2737, 0.2528, 0.0209], [0.7263, 0.7472, 0.9791], [0.7320, 0.2528, 0.4791], [0.7448, 0.2404, 0.9956], [0.7448, 0.7491, 0.5044]]
}



{
  "formula": "Rb2In2Hg",
  "functional": "PBE",
  "state": "optimized geometry",
  "energy_ev_per_cell": -16.1,
  "polymorph_energy_ev_per_atom": 0.000,
  "magmom_total_mub_per_cell": 0.00,
  "ef_ev_per_atom": -0.07,
  "lattice": [[5.7260, -4.3243, 0.0000], [5.7260, 4.3243, 0.0000], [0.0000, 0.0000, 9.1352]],
  "species": ["Rb", "Rb", "Rb", "Rb", "In", "In", "In", "In", "Hg", "Hg"],
  "fractional_positions": [[0.1870, 0.1870, 0.0000], [0.1870, 0.1870, 0.5000], [0.8130, 0.8130, 0.0000], [0.8130, 0.8130, 0.5000], [0.3520, 0.6480, 0.5891], [0.3520, 0.6480, 0.9109], [0.6480, 0.3520, 0.0891], [0.6480, 0.3520, 0.4109], [0.3155, 0.6845, 0.2500], [0.6845, 0.3155, 0.7500]]
}



{
  "formula": "Ac2HgPtPb",
  "functional": "PBE",
  "state": "optimized geometry",
  "energy_ev_per_cell": -43.6,
  "magmom_total_mub_per_cell": 0.00,
  "ef_ev_per_atom": -0.71,
  "lattice": [[8.1725, 0.0000, 0.0000], [0.0000, 4.8002, 0.0000], [-2.7774, 0.0000, 7.8870]],
  "species": ["Ac", "Ac", "Ac", "Ac", "Hg", "Hg", "Pt", "Pt", "Pb", "Pb"],
  "fractional_positions": [[0.1246, 0.2500, 0.3314], [0.2926, 0.2500, 0.9654], [0.7074, 0.7500, 0.0346], [0.8754, 0.7500, 0.6686], [0.4409, 0.7500, 0.3145], [0.5591, 0.2500, 0.6855], [0.0981, 0.7500, 0.0727], [0.9019, 0.2500, 0.9273], [0.3092, 0.7500, 0.6559], [0.6908, 0.2500, 0.3441]]
}



{
  "formula": "La2PmPr6Er",
  "functional": "PBE",
  "state": "optimized geometry",
  "energy_ev_per_cell": -93.6,
  "magmom_total_mub_per_cell": 0.00,
  "ef_ev_per_atom": 0.11,
  "lattice": [[4.6488, -7.7008, 0.0000], [4.6488, 7.7008, 0.0000], [-1.7665, 0.0000, 10.0137]],
  "species": ["La", "La", "La", "La", "Pm", "Pm", "Pr", "Pr", "Pr", "Pr", "Pr", "Pr", "Pr", "Pr", "Pr", "Pr", "Pr", "Pr", "Er", "Er"],
  "fractional_positions": [[0.1946, 0.2901, 0.0417], [0.2901, 0.1946, 0.5417], [0.7099, 0.8054, 0.4583], [0.8054, 0.7099, 0.9583], [0.0128, 0.9872, 0.2500], [0.9872, 0.0128, 0.7500], [0.0152, 0.5779, 0.1892], [0.1198, 0.7418, 0.5548], [0.2582, 0.8802, 0.9452], [0.2984, 0.5028, 0.3800], [0.4221, 0.9848, 0.3108], [0.4972, 0.7016, 0.1200], [0.5028, 0.2984, 0.8800], [0.5779, 0.0152, 0.6892], [0.7016, 0.4972, 0.6200], [0.7418, 0.1198, 0.0548], [0.8802, 0.2582, 0.4452], [0.9848, 0.4221, 0.8108], [0.4058, 0.5942, 0.7500], [0.5942, 0.4058, 0.2500]]
}



What did the first record say?
{
  "formula": "CaPb2",
  "functional": "PBE",
  "state": "optimized geometry",
  "energy_ev_per_cell": -21.0,
  "magmom_total_mub_per_cell": 0.00,
  "ef_ev_per_atom": -0.35,
  "lattice": [[5.5286, -2.5007, 0.0000], [5.5286, 2.5007, 0.0000], [-1.9166, 0.0000, 6.5850]],
  "species": ["Ca", "Ca", "Pb", "Pb", "Pb", "Pb"],
  "fractional_positions": [[0.1546, 0.1546, 0.3131], [0.8454, 0.8454, 0.6869], [0.1704, 0.1704, 0.8255], [0.5000, 0.5000, 0.0000], [0.5000, 0.5000, 0.5000], [0.8296, 0.8296, 0.1745]]
}